CoAuSe2 PBE optimized geometry; DOS(E_F) = 15.0 states/eV/cell; magnetic moment = 0.000 μB/f.u.; formation energy (no corrections) = -0.032 eV per atom; symmetry = C2/c, No. 15; electronic total energy = -4.37 eV/atom
1.0
5.1242 -5.6284 0.0000
5.1242 5.6284 0.0000
-4.0786 0.0000 10.5065
Co Au Se
8 8 16
Cartesian
0.8894 4.0493 9.6140
3.2411 4.0493 6.1458
0.8065 1.1880 7.5597
2.8458 -1.1880 2.3065
3.3241 1.1880 8.2000
5.3634 -1.1880 2.9468
2.9287 -4.0493 4.3607
5.2804 -4.0493 0.8925
3.4716 2.9348 1.0838
-0.9309 0.3210 9.3629
1.1084 -0.3210 4.1096
4.7376 2.9348 4.1695
1.4323 -2.9348 6.3370
5.0615 0.3210 6.3969
7.1008 -0.3210 1.1436
2.6983 -2.9348 9.4227
1.3569 2.4297 2.6767
2.0653 5.0972 7.8799
-0.6662 0.4461 5.8618
1.3731 -0.4461 0.6086
2.5616 1.8126 6.0734
1.5689 1.8126 9.6864
4.1046 0.8085 2.6266
-0.6824 -2.4297 7.9299
6.8522 2.4297 2.5766
2.0653 -0.8085 7.8799
4.6009 -1.8126 0.8201
3.6082 -1.8126 4.4331
4.7968 0.4461 9.8979
6.8361 -0.4461 4.6447
4.1046 -5.0972 2.6266
4.8130 -2.4297 7.8298

MnTl2Mo PBE optimized geometry; DOS(E_F) = 11.8 states/eV/cell; magnetic moment = 0.947 μB/f.u.; offset from the most stable computed form = 0.448 eV per atom; symmetry = F-43m, No. 216; electronic total energy = -5.29 eV/atom; E_form = 0.898 eV per atom
1.0
6.9377 0.0000 0.0000
0.0000 6.9377 0.0000
0.0000 0.0000 6.9377
Mn Tl Mo
4 8 4
Cartesian
0.0000 0.0000 0.0000
0.0000 3.4689 3.4689
3.4689 0.0000 3.4689
3.4689 3.4689 0.0000
0.0000 0.0000 3.4689
0.0000 3.4689 0.0000
1.7344 1.7344 5.2033
1.7344 5.2033 1.7344
3.4689 0.0000 0.0000
3.4689 3.4689 3.4689
5.2033 1.7344 1.7344
5.2033 5.2033 5.2033
1.7344 1.7344 1.7344
1.7344 5.2033 5.2033
5.2033 1.7344 5.2033
5.2033 5.2033 1.7344

La2TiTc2N6 PBE optimized geometry; DOS(E_F) = 2.3 states/eV/cell; magnetic moment = 0.000 μB/f.u.; formation energy (no corrections) = -0.657 eV per atom; symmetry = R-3m, No. 166; electronic total energy = -8.70 eV/atom
1.0
2.9725 1.7162 5.4012
-2.9725 1.7162 5.4012
0.0000 -3.4324 5.4012
La Ti Tc N
2 1 2 6
Cartesian
0.0000 0.0000 3.3290
0.0000 0.0000 12.8747
0.0000 0.0000 0.0000
0.0000 0.0000 6.9823
0.0000 0.0000 9.2214
-1.5983 -0.9228 9.4997
0.0000 -1.8455 6.7040
-1.5983 0.9228 6.7040
1.5983 -0.9228 9.4997
0.0000 1.8455 9.4997
1.5983 0.9228 6.7040

Rb3UAg2I9 PBE optimized geometry; DOS(E_F) = 8.0 states/eV/cell; magnetic moment = 2.000 μB/f.u.; formation energy (no corrections) = -0.898 eV per atom; symmetry = P-3m1, No. 164; electronic total energy = -3.15 eV/atom
1.0
8.6114 0.0000 0.0000
-4.3057 7.4577 0.0000
0.0000 0.0000 10.5789
Rb U Ag I
3 1 2 9
Cartesian
0.0000 0.0000 0.0000
0.0000 4.9718 7.7361
4.3057 2.4859 2.8427
0.0000 0.0000 5.2894
0.0000 4.9718 1.4943
4.3057 2.4859 9.0845
-2.1529 3.7288 0.0000
0.0000 2.4629 3.5446
-2.1727 6.2262 3.5446
2.1330 1.2315 7.0343
4.3057 0.0000 0.0000
2.1529 3.7288 0.0000
2.1727 6.2262 3.5446
6.4784 1.2315 7.0343
4.3057 4.9948 7.0343

Zr3TiN4 PBE optimized geometry; DOS(E_F) = 6.6 states/eV/cell; magnetic moment = 0.000 μB/f.u.; offset from the most stable computed form = 0.121 eV per atom; formation energy (no corrections) = -1.533 eV per atom; symmetry = Pmmn, No. 59; electronic total energy = -9.89 eV/atom
1.0
4.5462 0.0000 0.0000
0.0000 7.4593 0.0000
0.0000 0.0000 6.4430
Zr Ti N
6 2 8
Cartesian
1.1366 7.4568 1.0688
1.1366 1.8648 4.2540
1.1366 3.7322 1.0688
3.4097 0.0025 5.3742
3.4097 3.7271 5.3742
3.4097 5.5945 2.1890
1.1366 5.5945 4.3463
3.4097 1.8648 2.0967
1.1366 1.8648 2.1272
1.1366 3.7823 5.2963
1.1366 5.5945 2.2992
1.1366 7.4067 5.2963
3.4097 0.0526 1.1467
3.4097 1.8648 4.1438
3.4097 3.6771 1.1467
3.4097 5.5945 4.3158

LiVHg PBE optimized geometry; DOS(E_F) = 10.6 states/eV/cell; magnetic moment = 0.000 μB/f.u.; offset from the most stable computed form = 0.068 eV per atom; symmetry = Pnma, No. 62; electronic total energy = -3.68 eV/atom; E_form = 0.100 eV per atom
1.0
7.4872 0.0000 0.0000
0.0000 3.0215 0.0000
0.0000 0.0000 8.9126
Li V Hg
4 4 4
Cartesian
1.0557 0.7554 0.7608
2.6879 2.2661 5.2172
4.7993 0.7554 3.6955
6.4315 2.2661 8.1518
0.5630 0.7554 3.7714
3.1805 2.2661 8.2278
4.3066 0.7554 0.6849
6.9241 2.2661 5.1412
1.0607 0.7554 6.9104
2.6828 2.2661 2.4541
4.8043 0.7554 6.4585
6.4264 2.2661 2.0022

RuRhW2 PBE optimized geometry; DOS(E_F) = 8.2 states/eV/cell; magnetic moment = 0.000 μB/f.u.; offset from the most stable computed form = 0.017 eV per atom; symmetry = Cmmm, No. 65; electronic total energy = -10.70 eV/atom; E_form = -0.063 eV per atom
1.0
5.5732 0.0000 0.0000
0.0000 7.7344 0.0000
0.0000 0.0000 2.7898
Ru Rh W
2 2 4
Cartesian
0.0000 0.0000 0.0000
2.7866 3.8672 0.0000
0.0000 3.8672 0.0000
2.7866 0.0000 0.0000
1.3933 1.9336 1.3949
1.3933 5.8008 1.3949
4.1799 1.9336 1.3949
4.1799 5.8008 1.3949

LaAgCl2 PBE optimized geometry; magnetic moment = 0.007 μB/f.u.; offset from the most stable computed form = 0.071 eV per atom; formation energy (no corrections) = -1.241 eV per atom; symmetry = Cmmm, No. 65; electronic total energy = -4.11 eV/atom
1.0
6.1921 0.0000 0.0000
0.0000 12.4412 0.0000
0.0000 0.0000 4.1969
La Ag Cl
2 2 4
Cartesian
0.0000 0.0000 0.0000
3.0960 6.2206 0.0000
0.0000 6.2206 0.0000
3.0960 0.0000 0.0000
0.0000 1.8178 2.0985
0.0000 10.6235 2.0985
3.0960 4.4028 2.0985
3.0960 8.0384 2.0985

Tc3TeH PBE optimized geometry; DOS(E_F) = 5.1 states/eV/cell; magnetic moment = 2.218 μB/f.u.; offset from the most stable computed form = 0.000 eV per atom; symmetry = Pm-3m, No. 221; electronic total energy = -7.11 eV/atom
1.0
4.0548 0.0000 0.0000
0.0000 4.0548 0.0000
0.0000 0.0000 4.0548
Tc Te H
3 1 1
Cartesian
0.0000 0.0000 2.0274
0.0000 2.0274 0.0000
2.0274 0.0000 0.0000
2.0274 2.0274 2.0274
0.0000 0.0000 0.0000

BaRh2Se PBE optimized geometry; DOS(E_F) = 3.0 states/eV/cell; magnetic moment = 0.000 μB/f.u.; formation energy (no corrections) = -0.322 eV per atom; symmetry = P2/m, No. 10; electronic total energy = -5.35 eV/atom
1.0
4.9819 0.0000 0.0000
0.0000 4.1662 0.0000
-0.3811 0.0000 5.0083
Ba Rh Se
1 2 1
Cartesian
0.0000 0.0000 0.0000
1.9088 2.0831 3.7774
2.6921 2.0831 1.2309
2.3004 0.0000 2.5041

PmZrZnNi PBE optimized geometry; DOS(E_F) = 19.9 states/eV/cell; magnetic moment = 0.543 μB/f.u.; symmetry = F-43m, No. 216; electronic total energy = -5.24 eV/atom; E_form = -0.148 eV per atom
1.0
6.8512 0.0000 0.0000
0.0000 6.8512 0.0000
0.0000 0.0000 6.8512
Pm Zr Zn Ni
4 4 4 4
Cartesian
0.0000 0.0000 0.0000
0.0000 3.4256 3.4256
3.4256 0.0000 3.4256
3.4256 3.4256 0.0000
0.0000 0.0000 3.4256
0.0000 3.4256 0.0000
3.4256 0.0000 0.0000
3.4256 3.4256 3.4256
1.7128 1.7128 1.7128
1.7128 5.1384 5.1384
5.1384 1.7128 5.1384
5.1384 5.1384 1.7128
1.7128 1.7128 5.1384
1.7128 5.1384 1.7128
5.1384 1.7128 1.7128
5.1384 5.1384 5.1384

Y2MoRh PBE optimized geometry; DOS(E_F) = 4.5 states/eV/cell; magnetic moment = 0.000 μB/f.u.; symmetry = Pm, No. 6; electronic total energy = -7.89 eV/atom; E_form = -0.112 eV per atom
1.0
4.3722 0.0000 0.0000
0.0000 4.1552 0.0000
-2.1760 0.0000 5.2405
Y Mo Rh
2 1 1
Cartesian
0.0000 0.0000 0.0000
0.0010 2.0776 3.1232
2.1855 0.0000 2.1590
2.1882 2.0776 0.9090

ZnInIr3 PBE optimized geometry; DOS(E_F) = 9.2 states/eV/cell; magnetic moment = 1.879 μB/f.u.; symmetry = Pm-3m, No. 221; electronic total energy = -4.11 eV/atom; E_form = 2.013 eV per atom
1.0
4.8662 0.0000 0.0000
0.0000 4.8662 0.0000
0.0000 0.0000 4.8662
Zn In Ir
1 1 3
Cartesian
0.0000 0.0000 0.0000
2.4331 2.4331 2.4331
0.0000 2.4331 2.4331
2.4331 0.0000 2.4331
2.4331 2.4331 0.0000

Pm4SnS2 PBE optimized geometry; DOS(E_F) = 10.5 states/eV/cell; magnetic moment = 0.591 μB/f.u.; formation energy (no corrections) = -1.418 eV per atom; symmetry = Cmcm, No. 63; electronic total energy = -5.88 eV/atom
1.0
2.0962 -6.6470 0.0000
2.0962 6.6470 0.0000
0.0000 0.0000 13.7681
Pm Sn S
8 2 4
Cartesian
0.0000 0.0000 0.0000
0.0000 0.0000 6.8841
2.0962 3.1060 8.4810
2.0962 3.1060 12.1712
2.0962 0.8497 3.4420
2.0962 -0.8497 10.3261
2.0962 -3.1060 1.5970
2.0962 -3.1060 5.2871
2.0962 5.1884 3.4420
2.0962 -5.1884 10.3261
2.0962 1.7733 0.8276
2.0962 1.7733 6.0564
2.0962 -1.7733 7.7117
2.0962 -1.7733 12.9405

Ac2TmAg4 PBE optimized geometry; DOS(E_F) = 15.1 states/eV/cell; magnetic moment = 0.000 μB/f.u.; symmetry = I4/mmm, No. 139; electronic total energy = -3.54 eV/atom; E_form = -0.101 eV per atom
1.0
5.5606 0.0000 0.0000
0.0000 5.5606 0.0000
0.0000 0.0000 13.2972
Ac Tm Ag
4 2 8
Cartesian
0.0000 0.0000 2.8756
0.0000 0.0000 10.4216
2.7803 2.7803 3.7730
2.7803 2.7803 9.5242
0.0000 0.0000 6.6486
2.7803 2.7803 0.0000
0.0000 2.7803 1.4130
0.0000 2.7803 5.2356
0.0000 2.7803 8.0616
0.0000 2.7803 11.8842
2.7803 0.0000 1.4130
2.7803 0.0000 5.2356
2.7803 0.0000 8.0616
2.7803 0.0000 11.8842

LaHOsN2 PBE optimized geometry; DOS(E_F) = 3.6 states/eV/cell; magnetic moment = 0.000 μB/f.u.; symmetry = P4/mmm, No. 123; electronic total energy = -5.75 eV/atom
1.0
4.1178 0.0000 0.0000
0.0000 4.1178 0.0000
0.0000 0.0000 3.4573
La H Os N
1 1 1 2
Cartesian
0.0000 0.0000 0.0000
0.0000 0.0000 1.7286
2.0589 2.0589 0.0000
0.0000 2.0589 1.7286
2.0589 0.0000 1.7286

Ac6IrRu2I3 PBE optimized geometry; DOS(E_F) = 7.3 states/eV/cell; magnetic moment = 0.000 μB/f.u.; formation energy (no corrections) = -0.819 eV per atom; symmetry = C2/m, No. 12; electronic total energy = -5.54 eV/atom
1.0
3.7795 -6.5463 0.0000
3.7795 6.5463 0.0000
-2.5201 0.0000 8.6298
Ac Ir Ru I
6 1 2 3
Cartesian
-0.0136 2.2044 7.0429
1.2332 0.0000 1.5875
-0.0136 -2.2044 7.0429
5.0524 2.2044 1.5869
3.8056 0.0000 7.0422
5.0524 -2.2044 1.5869
3.7795 0.0000 0.0000
3.7795 4.3657 0.0000
3.7795 -4.3657 0.0000
-1.2600 0.0000 4.3149
2.5194 2.1985 4.3149
2.5194 -2.1985 4.3149

ZnInAu2 PBE optimized geometry; DOS(E_F) = 1.7 states/eV/cell; magnetic moment = 0.000 μB/f.u.; symmetry = Pm, No. 6; electronic total energy = -2.74 eV/atom; E_form = -0.101 eV per atom
1.0
3.1723 0.0000 0.0000
0.0000 4.9001 0.0000
-0.0016 0.0000 4.8346
Zn In Au
1 1 2
Cartesian
0.0000 0.0000 0.0000
1.5912 2.4501 3.7859
0.0055 2.4501 1.2927
1.5854 0.0000 2.3879

Tb5Co2Te2 PBE optimized geometry; DOS(E_F) = 13.8 states/eV/cell; magnetic moment = 0.000 μB/f.u.; formation energy (no corrections) = -0.686 eV per atom; symmetry = Cmce, No. 64; electronic total energy = -5.54 eV/atom
1.0
7.7986 -3.8519 0.0000
7.7986 3.8519 0.0000
0.0000 0.0000 7.6272
Tb Co Te
10 4 4
Cartesian
0.0000 0.0000 0.0000
6.0024 2.6045 5.0293
6.0024 1.2473 1.2157
9.5948 2.6045 5.0293
9.5948 1.2473 1.2157
7.7986 0.0000 3.8136
6.0024 -1.2473 6.4116
6.0024 -2.6045 2.5979
9.5948 -1.2473 6.4116
9.5948 -2.6045 2.5979
7.7986 2.8321 2.8170
7.7986 1.0198 6.6306
7.7986 -1.0198 0.9967
7.7986 -2.8321 4.8103
3.2690 0.0000 0.0000
4.5296 0.0000 3.8136
11.0676 0.0000 3.8136
12.3282 0.0000 0.0000

Tl2ZnRh PBE optimized geometry; DOS(E_F) = 9.5 states/eV/cell; magnetic moment = 0.000 μB/f.u.; offset from the most stable computed form = 0.047 eV per atom; symmetry = I4_1/amd, No. 141; electronic total energy = -3.28 eV/atom; E_form = 0.062 eV per atom
1.0
10.3331 0.0000 0.0000
0.0000 10.3331 0.0000
0.0000 0.0000 4.8984
Tl Zn Rh
8 4 4
Cartesian
0.0000 0.0000 0.0000
0.0000 5.1665 0.0000
2.5833 2.5833 3.6738
2.5833 7.7498 1.2246
5.1665 0.0000 2.4492
5.1665 5.1665 2.4492
7.7498 2.5833 3.6738
7.7498 7.7498 1.2246
0.0000 2.5833 1.8369
0.0000 7.7498 3.0615
5.1665 2.5833 0.6123
5.1665 7.7498 4.2861
0.0000 2.5833 4.2861
0.0000 7.7498 0.6123
5.1665 2.5833 3.0615
5.1665 7.7498 1.8369